Entry 1:
The following is a PBE calculation of an optimized crystal structure of RbBeCoW, from the Open Quantum Materials Database.

Computed properties:
Volume   15.800 Å³ per atom
Excess energy over the best structure of this formula in the dataset   0 meV/atom
Magnetization   0.00 μB per formula unit

abc: 6.3231 6.3231 6.3231
angles: 90.00 90.00 90.00
Space group F-43m (No. 216)
Inequivalent atoms, fractional coordinates:
Rb  0.0000  0.0000  0.0000 [4 per cell]
Be  0.2500  0.2500  0.7500 [4 per cell]
Co  0.0000  0.0000  0.5000 [4 per cell]
W  0.2500  0.2500  0.2500 [4 per cell]

Entry 2:
The following is a PBE calculation of an optimized crystal structure of RbBeCoW, from the Open Quantum Materials Database.

Computed properties:
Volume   15.824 Å³ per atom
Excess energy over the best structure of this formula in the dataset   304 meV/atom
Magnetization   0.49 μB per formula unit

abc: 6.3263 6.3263 6.3263
angles: 90.00 90.00 90.00
Space group F-43m (No. 216)
Inequivalent atoms, fractional coordinates:
Rb  0.0000  0.0000  0.0000 [4 per cell]
Be  0.0000  0.0000  0.5000 [4 per cell]
Co  0.2500  0.2500  0.7500 [4 per cell]
W  0.2500  0.2500  0.2500 [4 per cell]

Entry 3:
The following is a PBE calculation of an optimized crystal structure of BeCo2Re, from the Open Quantum Materials Database.

Computed properties:
Volume   11.146 Å³ per atom
Magnetization   0.02 μB per formula unit
Total energy   -30.32 eV per cell

abc: 2.5606 4.0034 4.3492
angles: 90.00 90.00 90.00
Space group Pmm2 (No. 25)
Inequivalent atoms, fractional coordinates:
Be  0.0000  0.0000  0.0000 [1 per cell]
Co  0.5000  0.0000  0.5512 [1 per cell]
Co  0.5000  0.5000  0.9000 [1 per cell]
Re  0.0000  0.5000  0.3772 [1 per cell]

Entry 4:
The following is a PBE calculation of an optimized crystal structure of BeCo2Re, from the Open Quantum Materials Database.

Computed properties:
Volume   10.871 Å³ per atom
Magnetization   0.83 μB per formula unit
Total energy   -120.00 eV per cell

abc: 5.5821 5.5821 5.5821
angles: 90.00 90.00 90.00
Space group F-43m (No. 216)
Inequivalent atoms, fractional coordinates:
Be  0.0000  0.0000  0.0000 [4 per cell]
Co  0.0000  0.0000  0.5000 [4 per cell]
Co  0.2500  0.2500  0.7500 [4 per cell]
Re  0.2500  0.2500  0.2500 [4 per cell]

Entry 5:
The following is a PBE calculation of an optimized crystal structure of BeCoRe, from the Open Quantum Materials Database.

Computed properties:
Volume   12.573 Å³ per atom
Excess energy over the best structure of this formula in the dataset   402 meV/atom
Magnetization   0.02 μB per formula unit

abc: 5.3236 5.3236 5.3236
angles: 90.00 90.00 90.00
Space group F-43m (No. 216)
Inequivalent atoms, fractional coordinates:
Be  0.0000  0.0000  0.0000 [4 per cell]
Co  0.2500  0.2500  0.2500 [4 per cell]
Re  0.0000  0.0000  0.5000 [4 per cell]

Entry 6:
The following is a PBE calculation of an optimized crystal structure of BeCoRe, from the Open Quantum Materials Database.

Computed properties:
Volume   10.608 Å³ per atom
Excess energy over the best structure of this formula in the dataset   0 meV/atom
Magnetization   0.02 μB per formula unit

abc: 4.4488 4.6056 6.2128
angles: 90.00 90.00 90.00
Space group Imma (No. 74)
Inequivalent atoms, fractional coordinates:
Be  0.2500  0.2500  0.2500 [4 per cell]
Co  0.0000  0.0000  0.0000 [4 per cell]
Re  0.0000  0.2500  0.6211 [4 per cell]